(1)
A plane-wave DFT calculation with GGA-PBE was carried out for a relaxed structure of Hf2ThAu.

a = 3.4117 Å, b = 3.4117 Å, c = 8.0056 Å
α = 90.00°, β = 90.00°, γ = 90.00°
With the nearest neighbours (Å) after each atom.
Space group P4/mmm (No. 123)
Symmetry-distinct sites (fractional):
1 Hf 0.0000 0.0000 0.2157 x2  4 Au 2.97, 4 Th 3.32
2 Th 0.5000 0.5000 0.5000 x1  8 Hf 3.32, 4 Th 3.41
3 Au 0.5000 0.5000 0.0000 x1  8 Hf 2.97

## Properties
**ΔH_f (0 K)**: -191 meV per atom
**Volume**: 93 Å³/cell
**Total magnetic moment**: 0.0 μB per formula unit

(2)
A plane-wave DFT calculation with GGA-PBE was carried out for a relaxed structure of AcPmGa3.

a = 4.5775 Å, b = 26.4934 Å, c = 4.3275 Å
α = 90.00°, β = 90.00°, γ = 90.00°
With the nearest neighbours (Å) after each atom.
Space group Cmcm (No. 63)
Symmetry-distinct sites (fractional):
1 Ac 0.0000 0.0745 0.2500 x4  12 Ga 3.39-3.56
2 Pm 0.0000 0.2033 0.7500 x4  7 Ga 3.14-3.22
3 Ga 0.0000 0.3225 0.7500 x4  2 Ga 2.61
4 Ga 0.0000 0.3780 0.2500 x4  3 Ga 2.59-2.61
5 Ga 0.0000 0.4757 0.2500 x4  3 Ga 2.52-2.59

## Properties
**ΔH_f (0 K)**: -622 meV per atom
**Volume**: 525 Å³/cell
**Total magnetic moment**: 0.0 μB per formula unit

(3)
A plane-wave DFT calculation with GGA-PBE was carried out for a relaxed structure of Rb2NaZn3Sb4.

a = 4.9472 Å, b = 4.9472 Å, c = 11.6903 Å
α = 90.00°, β = 90.00°, γ = 90.00°
With the nearest neighbours (Å) after each atom.
Space group P-4m2 (No. 115)
Symmetry-distinct sites (fractional):
1 Rb 0.0000 0.5000 0.2479 x2  8 Sb 3.72-3.85, 6 Zn 3.77-3.81, 2 Na 3.81
2 Na 0.5000 0.5000 0.0000 x1  4 Sb 2.96
3 Zn 0.0000 0.0000 0.0000 x1  4 Sb 2.96
4 Zn 0.0000 0.5000 0.6323 x2  5 Sb 2.67-2.92
5 Sb 0.0000 0.0000 0.5000 x1  4 Zn 2.92
6 Sb 0.0000 0.5000 0.8612 x2  3 Zn 2.67-2.96, 2 Na 2.96
7 Sb 0.5000 0.5000 0.5000 x1  4 Zn 2.92

## Properties
**Volume**: 286 Å³/cell
**Total magnetic moment**: 0.0 μB per formula unit
**Uncorrected formation energy**: -0.247 eV per atom

(4)
A plane-wave DFT calculation with GGA-PBE was carried out for a relaxed structure of Ce2TmPa.

a = 3.3477 Å, b = 3.3477 Å, c = 9.7929 Å
α = 90.00°, β = 90.00°, γ = 90.00°
With the nearest neighbours (Å) after each atom.
Space group P4/mmm (No. 123)
Symmetry-distinct sites (fractional):
1 Ce 0.0000 0.0000 0.2357 x2  4 Pa 3.31, 4 Ce 3.35, 4 Tm 3.51
2 Tm 0.5000 0.5000 0.5000 x1  4 Tm 3.35, 8 Ce 3.51
3 Pa 0.5000 0.5000 0.0000 x1  8 Ce 3.31, 4 Pa 3.35

## Properties
**ΔH_f (0 K)**: 78 meV per atom
**Volume**: 110 Å³/cell
**Total magnetic moment**: 0.0 μB per formula unit
**Relative energy among the computed polymorphs**: 0.000 eV per atom

(5)
A plane-wave DFT calculation with GGA-PBE was carried out for a relaxed structure of Sr2LiAl4Au3.

a = 4.4573 Å, b = 4.4573 Å, c = 10.8950 Å
α = 90.00°, β = 90.00°, γ = 90.00°
With the nearest neighbours (Å) after each atom.
Space group P-4m2 (No. 115)
Symmetry-distinct sites (fractional):
1 Sr 0.0000 0.5000 0.2490 x2  6 Au 3.41-3.53, 8 Al 3.42-3.51, 2 Li 3.53
2 Li 0.0000 0.0000 0.5000 x1  4 Al 2.64
3 Al 0.0000 0.0000 0.0000 x1  4 Au 2.64
4 Al 0.0000 0.5000 0.6302 x2  3 Au 2.61-2.64, 2 Li 2.64
5 Al 0.5000 0.5000 0.0000 x1  4 Au 2.64
6 Au 0.0000 0.5000 0.8696 x2  5 Al 2.61-2.64
7 Au 0.5000 0.5000 0.5000 x1  4 Al 2.64

## Properties
**ΔH_f (0 K)**: -540 meV per atom
**Volume**: 216 Å³/cell
**Total magnetic moment**: 0.0 μB per formula unit

(6)
A plane-wave DFT calculation with GGA-PBE was carried out for a relaxed structure of KNaGa2F8.

a = 5.5248 Å, b = 5.5248 Å, c = 11.7894 Å
α = 90.00°, β = 90.00°, γ = 90.00°
With the nearest neighbours (Å) after each atom.
Space group I-4 (No. 82)
Symmetry-distinct sites (fractional):
1 K 0.0000 0.0000 0.0000 x2  8 F 2.67-2.68
2 Na 0.0000 0.5000 0.7500 x2  8 F 2.56-2.57
3 Ga 0.0000 0.0000 0.5000 x2  4 F 1.81
4 Ga 0.0000 0.5000 0.2500 x2  4 F 1.81
5 F 0.1418 0.2325 0.5856 x8  1 Ga 1.81
6 F 0.1664 0.7249 0.1703 x8  1 Ga 1.81

## Properties
**Volume**: 360 Å³/cell
**Total magnetic moment**: 0.0 μB per formula unit
**Uncorrected formation energy**: -2.708 eV per atom

(7)
A plane-wave DFT calculation with GGA-PBE was carried out for a relaxed structure of Er7Mg2Ru2.

a = 7.9867 Å, b = 10.8569 Å, c = 7.1778 Å
α = 90.00°, β = 90.00°, γ = 90.00°
With the nearest neighbours (Å) after each atom.
Space group Cmmm (No. 65)
Symmetry-distinct sites (fractional):
1 Er 0.0000 0.0000 0.0000 x2  2 Ru 3.16
2 Er 0.0000 0.5000 0.2353 x4  2 Ru 2.83
3 Er 0.2500 0.2500 0.2465 x8  2 Ru 2.70
4 Mg 0.1739 0.0000 0.5000 x4  1 Mg 2.78
5 Ru 0.0000 0.2910 0.0000 x4  6 Er 2.70-2.83

## Properties
**ΔH_f (0 K)**: -86 meV per atom
**Volume**: 622 Å³/cell
**Total magnetic moment**: 0.0 μB per formula unit

(8)
A plane-wave DFT calculation with GGA-PBE was carried out for a relaxed structure of ZrPW2.

a = 3.3375 Å, b = 4.1551 Å, c = 9.6612 Å
α = 90.00°, β = 90.00°, γ = 90.00°
With the nearest neighbours (Å) after each atom.
Space group Immm (No. 71)
Symmetry-distinct sites (fractional):
1 Zr 0.0000 0.0000 0.0000 x2  4 P 2.66, 4 W 2.95
2 P 0.0000 0.0000 0.5000 x2  4 Zr 2.66, 4 W 2.92
3 W 0.0000 0.5000 0.2480 x4  4 W 2.67, 2 P 2.92, 2 Zr 2.95

## Properties
**ΔH_f (0 K)**: 2 meV per atom
**Volume**: 134 Å³/cell
**Total magnetic moment**: 0.0 μB per formula unit